1.
A plane-wave DFT calculation with PBE was carried out for an optimized crystal structure of NdThTeOs.

```
data_NdThTeOs
_cell_length_a 4.2255
_cell_length_b 4.2255
_cell_length_c 22.6865
_cell_angle_alpha 90.00
_cell_angle_beta 90.00
_cell_angle_gamma 120.00
_space_group_name_H-M_alt 'R 3 m'
_space_group_IT_number 160
_space_group_name_Hall 'R 3 -2"'
loop_
_atom_site_label
_atom_site_fract_x
_atom_site_fract_y
_atom_site_fract_z
Nd1 0.0000 0.0000 0.0000
Th1 0.0000 0.0000 0.8019
Te1 0.0000 0.0000 0.2355
Os1 0.0000 0.0000 0.4067
```

Computed properties:
E_form (uncorrected) (eV per formula unit): -2.73

---

2.
A plane-wave DFT calculation with PBE was carried out for an optimized crystal structure of Ce2ErTl2Zn2.

```
data_Ce2ErTl2Zn2
_cell_length_a 4.5913
_cell_length_b 4.5913
_cell_length_c 27.5447
_cell_angle_alpha 90.00
_cell_angle_beta 90.00
_cell_angle_gamma 120.00
_space_group_name_H-M_alt 'R -3 m'
_space_group_IT_number 166
_space_group_name_Hall '-R 3 2"'
loop_
_atom_site_label
_atom_site_fract_x
_atom_site_fract_y
_atom_site_fract_z
Ce1 0.0000 0.0000 0.1434
Er1 0.0000 0.0000 0.0000
Tl1 0.0000 0.0000 0.2716
Zn1 0.0000 0.0000 0.4192
```

Computed properties:
Calculated formation energy (eV per atom): -0.13

---

3.
A plane-wave DFT calculation with PBE was carried out for an optimized crystal structure of Al2IrSe.

```
data_Al2IrSe
_cell_length_a 4.0507
_cell_length_b 4.0742
_cell_length_c 7.5537
_cell_angle_alpha 90.00
_cell_angle_beta 90.00
_cell_angle_gamma 90.00
_space_group_name_H-M_alt 'I m m m'
_space_group_IT_number 71
_space_group_name_Hall '-I 2 2'
loop_
_atom_site_label
_atom_site_fract_x
_atom_site_fract_y
_atom_site_fract_z
Al1 0.0000 0.0000 0.2501
Ir1 0.0000 0.5000 0.0000
Se1 0.0000 0.5000 0.5000
```

Computed properties:
E_form (uncorrected) (eV per formula unit): -0.58